1.
# PrSm12Ho6 | the Alexandria database | PBE | relaxed
data_PrSm12Ho6
_chemical_formula_sum 'Pr1 Sm12 Ho6'
_cell_length_a 8.789
_cell_length_b 8.789
_cell_length_c 8.789
_cell_angle_alpha 98.77
_cell_angle_beta 98.77
_cell_angle_gamma 98.77
_symmetry_space_group_name_H-M 'P 1'
_symmetry_Int_Tables_number 1
loop_
_symmetry_equiv_pos_as_xyz
'x,y,z'
loop_
_atom_site_label
_atom_site_type_symbol
_atom_site_fract_x
_atom_site_fract_y
_atom_site_fract_z
_atom_site_occupancy
Pr1 Pr 0.000 0.000 0.000 1
Sm1 Sm 0.083 0.355 0.355 1
Sm2 Sm 0.241 0.500 0.759 1
Sm3 Sm 0.241 0.759 0.500 1
Sm4 Sm 0.355 0.083 0.355 1
Sm5 Sm 0.355 0.355 0.083 1
Sm6 Sm 0.500 0.241 0.759 1
Sm7 Sm 0.500 0.759 0.241 1
Sm8 Sm 0.645 0.645 0.917 1
Sm9 Sm 0.645 0.917 0.645 1
Sm10 Sm 0.759 0.241 0.500 1
Sm11 Sm 0.759 0.500 0.241 1
Sm12 Sm 0.917 0.645 0.645 1
Ho1 Ho 0.100 0.100 0.660 1
Ho2 Ho 0.100 0.660 0.100 1
Ho3 Ho 0.340 0.900 0.900 1
Ho4 Ho 0.660 0.100 0.100 1
Ho5 Ho 0.900 0.340 0.900 1
Ho6 Ho 0.900 0.900 0.340 1
# Offset from the most stable computed form   58 meV per atom
# Formation energy   19.25 kJ/mol of atoms
# Symmetry   R-3m, No. 166
# Fermi-level density of states   37.48 states/eV/f.u.



2.
# PrSm4Ho2 | the Alexandria database | PBE | relaxed
data_PrSm4Ho2
_chemical_formula_sum 'Pr2 Sm8 Ho4'
_cell_length_a 6.242
_cell_length_b 8.070
_cell_length_c 9.564
_cell_angle_alpha 85.18
_cell_angle_beta 77.59
_cell_angle_gamma 82.58
_symmetry_space_group_name_H-M 'P 1'
_symmetry_Int_Tables_number 1
loop_
_symmetry_equiv_pos_as_xyz
'x,y,z'
loop_
_atom_site_label
_atom_site_type_symbol
_atom_site_fract_x
_atom_site_fract_y
_atom_site_fract_z
_atom_site_occupancy
Pr1 Pr 0.000 0.000 0.000 1
Pr2 Pr 0.428 0.145 0.146 1
Sm1 Sm 0.070 0.857 0.360 1
Sm2 Sm 0.213 0.574 0.073 1
Sm3 Sm 0.287 0.431 0.430 1
Sm4 Sm 0.361 0.290 0.785 1
Sm5 Sm 0.501 0.000 0.501 1
Sm6 Sm 0.574 0.856 0.856 1
Sm7 Sm 0.788 0.432 0.929 1
Sm8 Sm 0.931 0.145 0.642 1
Ho1 Ho 0.145 0.714 0.713 1
Ho2 Ho 0.641 0.713 0.217 1
Ho3 Ho 0.716 0.574 0.571 1
Ho4 Ho 0.856 0.291 0.289 1
# Offset from the most stable computed form   0 meV per atom
# Formation energy   1.70 kJ/mol of atoms
# Symmetry   P1, No. 1
# Fermi-level density of states   9.93 states/eV/f.u.



3.
# Pr7Sm2Ho3 | the Alexandria database | PBE | relaxed
data_Pr7Sm2Ho3
_chemical_formula_sum 'Pr7 Sm2 Ho3'
_cell_length_a 5.952
_cell_length_b 3.656
_cell_length_c 19.237
_cell_angle_alpha 90.00
_cell_angle_beta 93.76
_cell_angle_gamma 90.00
_symmetry_space_group_name_H-M 'P 1'
_symmetry_Int_Tables_number 1
loop_
_symmetry_equiv_pos_as_xyz
'x,y,z'
loop_
_atom_site_label
_atom_site_type_symbol
_atom_site_fract_x
_atom_site_fract_y
_atom_site_fract_z
_atom_site_occupancy
Pr1 Pr 0.000 0.000 0.000 1
Pr2 Pr 0.174 0.500 0.183 1
Pr3 Pr 0.258 0.500 0.535 1
Pr4 Pr 0.330 0.000 0.855 1
Pr5 Pr 0.670 0.000 0.145 1
Pr6 Pr 0.742 0.500 0.465 1
Pr7 Pr 0.826 0.500 0.817 1
Sm1 Sm 0.297 0.500 0.702 1
Sm2 Sm 0.703 0.500 0.298 1
Ho1 Ho 0.215 0.000 0.368 1
Ho2 Ho 0.500 0.500 0.000 1
Ho3 Ho 0.785 0.000 0.632 1
# Offset from the most stable computed form   24 meV per atom
# Formation energy   8.73 kJ/mol of atoms
# Symmetry   P2/m, No. 10
# Fermi-level density of states   17.71 states/eV/f.u.



4.
# Pr3SmHo8 | the Alexandria database | PBE | relaxed
data_Pr3SmHo8
_chemical_formula_sum 'Pr3 Sm1 Ho8'
_cell_length_a 8.700
_cell_length_b 8.700
_cell_length_c 8.700
_cell_angle_alpha 136.54
_cell_angle_beta 98.23
_cell_angle_gamma 97.52
_symmetry_space_group_name_H-M 'P 1'
_symmetry_Int_Tables_number 1
loop_
_symmetry_equiv_pos_as_xyz
'x,y,z'
loop_
_atom_site_label
_atom_site_type_symbol
_atom_site_fract_x
_atom_site_fract_y
_atom_site_fract_z
_atom_site_occupancy
Pr1 Pr 0.000 0.000 0.000 1
Pr2 Pr 0.252 0.752 0.500 1
Pr3 Pr 0.748 0.248 0.500 1
Sm1 Sm 0.500 0.500 0.000 1
Ho1 Ho 0.079 0.250 0.829 1
Ho2 Ho 0.253 0.249 0.502 1
Ho3 Ho 0.253 0.751 0.004 1
Ho4 Ho 0.421 0.250 0.171 1
Ho5 Ho 0.579 0.750 0.829 1
Ho6 Ho 0.747 0.249 0.996 1
Ho7 Ho 0.747 0.751 0.498 1
Ho8 Ho 0.921 0.750 0.171 1
# Formation energy   27.45 kJ/mol of atoms
# Symmetry   Immm, No. 71
# Fermi-level density of states   15.86 states/eV/f.u.



5.
# Pr4Sm3Ho | the Alexandria database | PBE | relaxed
data_Pr4Sm3Ho
_chemical_formula_sum 'Pr8 Sm6 Ho2'
_cell_length_a 11.845
_cell_length_b 7.391
_cell_length_c 6.383
_cell_angle_alpha 90.00
_cell_angle_beta 90.00
_cell_angle_gamma 90.00
_symmetry_space_group_name_H-M 'P 1'
_symmetry_Int_Tables_number 1
loop_
_symmetry_equiv_pos_as_xyz
'x,y,z'
loop_
_atom_site_label
_atom_site_type_symbol
_atom_site_fract_x
_atom_site_fract_y
_atom_site_fract_z
_atom_site_occupancy
Pr1 Pr 0.000 0.127 0.000 1
Pr2 Pr 0.000 0.873 0.495 1
Pr3 Pr 0.248 0.872 0.833 1
Pr4 Pr 0.252 0.128 0.333 1
Pr5 Pr 0.500 0.127 0.995 1
Pr6 Pr 0.500 0.873 0.500 1
Pr7 Pr 0.748 0.128 0.333 1
Pr8 Pr 0.752 0.872 0.833 1
Sm1 Sm 0.000 0.377 0.500 1
Sm2 Sm 0.250 0.378 0.831 1
Sm3 Sm 0.250 0.622 0.331 1
Sm4 Sm 0.500 0.623 0.000 1
Sm5 Sm 0.750 0.378 0.831 1
Sm6 Sm 0.750 0.622 0.331 1
Ho1 Ho 0.000 0.621 0.998 1
Ho2 Ho 0.500 0.379 0.498 1
# Offset from the most stable computed form   16 meV per atom
# Formation energy   3.14 kJ/mol of atoms
# Symmetry   Pmn2_1, No. 31
# Fermi-level density of states   13.96 states/eV/f.u.



6.
# Pr6SmHo12 | the Alexandria database | PBE | relaxed
data_Pr6SmHo12
_chemical_formula_sum 'Pr6 Sm1 Ho12'
_cell_length_a 8.700
_cell_length_b 8.700
_cell_length_c 8.700
_cell_angle_alpha 79.57
_cell_angle_beta 79.57
_cell_angle_gamma 79.57
_symmetry_space_group_name_H-M 'P 1'
_symmetry_Int_Tables_number 1
loop_
_symmetry_equiv_pos_as_xyz
'x,y,z'
loop_
_atom_site_label
_atom_site_type_symbol
_atom_site_fract_x
_atom_site_fract_y
_atom_site_fract_z
_atom_site_occupancy
Pr1 Pr 0.268 0.268 0.664 1
Pr2 Pr 0.268 0.664 0.268 1
Pr3 Pr 0.336 0.732 0.732 1
Pr4 Pr 0.664 0.268 0.268 1
Pr5 Pr 0.732 0.336 0.732 1
Pr6 Pr 0.732 0.732 0.336 1
Sm1 Sm 0.500 0.500 0.500 1
Ho1 Ho 0.014 0.014 0.696 1
Ho2 Ho 0.014 0.696 0.014 1
Ho3 Ho 0.017 0.362 0.362 1
Ho4 Ho 0.304 0.986 0.986 1
Ho5 Ho 0.362 0.017 0.362 1
Ho6 Ho 0.362 0.362 0.017 1
Ho7 Ho 0.638 0.638 0.983 1
Ho8 Ho 0.638 0.983 0.638 1
Ho9 Ho 0.696 0.014 0.014 1
Ho10 Ho 0.983 0.638 0.638 1
Ho11 Ho 0.986 0.304 0.986 1
Ho12 Ho 0.986 0.986 0.304 1
# Offset from the most stable computed form   0 meV per atom
# Formation energy   11.67 kJ/mol of atoms
# Symmetry   R-3m, No. 166
# Fermi-level density of states   29.87 states/eV/f.u.



7.
# Pr5Sm2Ho4 | the Alexandria database | PBE | relaxed
data_Pr5Sm2Ho4
_chemical_formula_sum 'Pr5 Sm2 Ho4'
_cell_length_a 12.830
_cell_length_b 12.830
_cell_length_c 12.830
_cell_angle_alpha 164.07
_cell_angle_beta 137.78
_cell_angle_gamma 45.39
_symmetry_space_group_name_H-M 'P 1'
_symmetry_Int_Tables_number 1
loop_
_symmetry_equiv_pos_as_xyz
'x,y,z'
loop_
_atom_site_label
_atom_site_type_symbol
_atom_site_fract_x
_atom_site_fract_y
_atom_site_fract_z
_atom_site_occupancy
Pr1 Pr 0.000 0.000 0.000 1
Pr2 Pr 0.055 0.355 0.701 1
Pr3 Pr 0.346 0.645 0.701 1
Pr4 Pr 0.654 0.355 0.299 1
Pr5 Pr 0.945 0.645 0.299 1
Sm1 Sm 0.269 0.769 0.500 1
Sm2 Sm 0.731 0.231 0.500 1
Ho1 Ho 0.315 0.500 0.815 1
Ho2 Ho 0.404 0.904 0.500 1
Ho3 Ho 0.596 0.096 0.500 1
Ho4 Ho 0.685 0.500 0.185 1
# Offset from the most stable computed form   35 meV per atom
# Formation energy   17.10 kJ/mol of atoms
# Symmetry   Immm, No. 71
# Fermi-level density of states   16.55 states/eV/f.u.



8.
# Pr5SmHo6 | the Alexandria database | PBE | relaxed
data_Pr5SmHo6
_chemical_formula_sum 'Pr5 Sm1 Ho6'
_cell_length_a 9.553
_cell_length_b 9.553
_cell_length_c 9.553
_cell_angle_alpha 148.76
_cell_angle_beta 116.22
_cell_angle_gamma 72.74
_symmetry_space_group_name_H-M 'P 1'
_symmetry_Int_Tables_number 1
loop_
_symmetry_equiv_pos_as_xyz
'x,y,z'
loop_
_atom_site_label
_atom_site_type_symbol
_atom_site_fract_x
_atom_site_fract_y
_atom_site_fract_z
_atom_site_occupancy
Pr1 Pr 0.000 0.000 0.000 1
Pr2 Pr 0.167 0.667 0.500 1
Pr3 Pr 0.334 0.334 0.000 1
Pr4 Pr 0.666 0.666 0.000 1
Pr5 Pr 0.833 0.333 0.500 1
Sm1 Sm 0.500 0.000 0.500 1
Ho1 Ho 0.084 0.834 0.251 1
Ho2 Ho 0.251 0.500 0.751 1
Ho3 Ho 0.417 0.166 0.251 1
Ho4 Ho 0.583 0.834 0.749 1
Ho5 Ho 0.749 0.500 0.249 1
Ho6 Ho 0.916 0.166 0.749 1
# Offset from the most stable computed form   5 meV per atom
# Formation energy   1.74 kJ/mol of atoms
# Symmetry   Immm, No. 71
# Fermi-level density of states   16.02 states/eV/f.u.



9.
# Pr4Sm6Ho | the Alexandria database | PBE | relaxed
data_Pr4Sm6Ho
_chemical_formula_sum 'Pr4 Sm6 Ho1'
_cell_length_a 9.761
_cell_length_b 9.761
_cell_length_c 9.761
_cell_angle_alpha 139.29
_cell_angle_beta 139.29
_cell_angle_gamma 58.93
_symmetry_space_group_name_H-M 'P 1'
_symmetry_Int_Tables_number 1
loop_
_symmetry_equiv_pos_as_xyz
'x,y,z'
loop_
_atom_site_label
_atom_site_type_symbol
_atom_site_fract_x
_atom_site_fract_y
_atom_site_fract_z
_atom_site_occupancy
Pr1 Pr 0.013 0.633 0.000 1
Pr2 Pr 0.367 0.367 0.380 1
Pr3 Pr 0.633 0.013 0.000 1
Pr4 Pr 0.987 0.987 0.620 1
Sm1 Sm 0.000 0.500 0.500 1
Sm2 Sm 0.204 0.204 0.650 1
Sm3 Sm 0.446 0.796 0.000 1
Sm4 Sm 0.500 0.000 0.500 1
Sm5 Sm 0.554 0.554 0.350 1
Sm6 Sm 0.796 0.446 0.000 1
Ho1 Ho 0.000 0.000 0.000 1
# Offset from the most stable computed form   0 meV per atom
# Formation energy   26.92 kJ/mol of atoms
# Symmetry   I-42m, No. 121
# Fermi-level density of states   16.15 states/eV/f.u.



10.
# PrSm2Ho9 | the Alexandria database | PBE | relaxed
data_PrSm2Ho9
_chemical_formula_sum 'Pr1 Sm2 Ho9'
_cell_length_a 5.029
_cell_length_b 5.029
_cell_length_c 15.084
_cell_angle_alpha 90.00
_cell_angle_beta 90.00
_cell_angle_gamma 90.00
_symmetry_space_group_name_H-M 'P 1'
_symmetry_Int_Tables_number 1
loop_
_symmetry_equiv_pos_as_xyz
'x,y,z'
loop_
_atom_site_label
_atom_site_type_symbol
_atom_site_fract_x
_atom_site_fract_y
_atom_site_fract_z
_atom_site_occupancy
Pr1 Pr 0.000 0.000 0.000 1
Sm1 Sm 0.000 0.000 0.334 1
Sm2 Sm 0.000 0.000 0.666 1
Ho1 Ho 0.000 0.500 0.168 1
Ho2 Ho 0.000 0.500 0.500 1
Ho3 Ho 0.000 0.500 0.832 1
Ho4 Ho 0.500 0.000 0.168 1
Ho5 Ho 0.500 0.000 0.500 1
Ho6 Ho 0.500 0.000 0.832 1
Ho7 Ho 0.500 0.500 0.000 1
Ho8 Ho 0.500 0.500 0.334 1
Ho9 Ho 0.500 0.500 0.666 1
# Offset from the most stable computed form   0 meV per atom
# Formation energy   2.17 kJ/mol of atoms
# Symmetry   P4/mmm, No. 123
# Fermi-level density of states   16.94 states/eV/f.u.